Crystalline TbNiAgF6 at its relaxed geometry, computed with GGA+U.

Cell and atoms, written as extended XYZ:
```
18
Lattice="5.7268 0.0000 0.0000 -2.8634 4.9596 0.0000 0.0000 0.0000 9.9275" Properties=species:S:1:pos:R:3 pbc="T T T"
Tb 0.0000 3.3064 2.4819
Tb 2.8634 1.6532 7.4457
Ni 0.0000 3.3064 7.4457
Ni 2.8634 1.6532 2.4819
Ag 0.0000 0.0000 0.0000
Ag 0.0000 0.0000 4.9638
F -0.9523 1.8773 6.3463
F -1.7137 3.1962 8.5450
F 0.9523 1.8773 8.5450
F -0.7614 4.8456 6.3463
F 2.1020 0.1140 1.3825
F 1.1497 1.7634 3.5812
F 1.7137 3.1962 6.3463
F 0.7614 4.8456 8.5450
F 3.6248 0.1140 3.5812
F 1.9111 3.0822 1.3825
F 4.5771 1.7634 1.3825
F 3.8157 3.0822 3.5812
```

The density of states at the Fermi level comes out at 0.00 states/eV/cell. The value obtained for the final energy is -91.492 eV per cell. For the spin magnetization, the calculation gives 0.210 μB/atom.